Density functional theory data (PBE) for crystalline KMoRu2 at its relaxed geometry.

Properties
Polymorph energy (0 for the lowest one)   51.3 kJ/mol of atoms
Space group   Immm
Energy of formation   4.58 eV/f.u.

a b c (Å): 5.610 5.610 5.610
angles (deg): 148.86 122.10 67.21
Each line ends with the local moment (μB).
Fractional coordinates of all 4 atoms:
1 K 0.750 0.250 0.500  0.02
2 Mo 0.250 0.750 0.500  0.46
3 Ru 0.041 0.041 0.000  -0.02
4 Ru 0.459 0.459 0.000  -0.02



Density functional theory data (PBE) for crystalline KMoRu2 at its relaxed geometry.

Properties
Polymorph energy (0 for the lowest one)   65.4 kJ/mol of atoms
Space group   Cmmm
Energy of formation   5.16 eV/f.u.

a b c (Å): 5.366 5.366 2.551
angles (deg): 90.00 90.00 107.16
Fractional coordinates of all 4 atoms:
1 K 0.500 0.000 0.500
2 Mo 0.000 0.500 0.500
3 Ru 0.000 0.000 0.000
4 Ru 0.500 0.500 0.000



Question: What is the formula in the first record?
Answer: KMoRu2



Repeat the second record exactly.
Density functional theory data (PBE) for crystalline KMoRu2 at its relaxed geometry.

Properties
Polymorph energy (0 for the lowest one)   65.4 kJ/mol of atoms
Space group   Cmmm
Energy of formation   5.16 eV/f.u.

a b c (Å): 5.366 5.366 2.551
angles (deg): 90.00 90.00 107.16
Fractional coordinates of all 4 atoms:
1 K 0.500 0.000 0.500
2 Mo 0.000 0.500 0.500
3 Ru 0.000 0.000 0.000
4 Ru 0.500 0.500 0.000



Question: What is the formula in the second record?
Answer: KMoRu2